The following is a DFT calculation (PBE) of a geometry-optimized LiMgNF2 structure.

Results
- ΔE_f (raw) (eV/f.u.) = -7.27
- crystal system = tetragonal
- total magnetization (μB/f.u.) = 2.000
- energy relative to the lowest polymorph listed for this composition (meV/atom) = 0
- uncorrected energy (eV per atom) = -4.57

abc: 3.963 3.963 4.238
angles: 90.00 90.00 90.00
Fractional positions:
Mg 0.000 0.000 0.000
F 0.500 0.000 0.000
F 0.000 0.500 0.000
Li 0.500 0.500 0.500
N 0.000 0.000 0.500